The following is a PBE+U calculation of a relaxed Mg2MoO2 crystal, from Alexandria.

Results
DOS at the Fermi energy = 0.69 states/eV per cell
Magnetic moment = 4.06 μB/cell
Calculated total energy = -5.4073 eV per atom
Theoretical density = 3.5 g cm⁻³

Cell lengths 5.9612, 5.9612, 5.9612 Å; angles 140.64, 140.64, 56.88 degrees
Last column: nearest neighbours and their distance in Å.
Sites, in units of the cell vectors:
1 Mg 0.2500 0.7500 0.5000  4 O 2.05
2 Mg 0.7500 0.2500 0.5000  4 O 2.05
3 Mo 0.0000 0.0000 0.0000  2 O 2.20
4 O 0.2100 0.2100 0.0000  4 Mg 2.05, 1 Mo 2.20
5 O 0.7900 0.7900 0.0000  4 Mg 2.05, 1 Mo 2.20